USi2Os2Pt | PBE | relaxed Values from VASP.

Structure (Quantum ESPRESSO input):
```
&SYSTEM
  ibrav = 0, nat = 6, ntyp = 4
/
ATOMIC_SPECIES
Os 190.23 Os.upf
Pt 195.08 Pt.upf
Si 28.09 Si.upf
U 238.03 U.upf
CELL_PARAMETERS angstrom
-0.944 -4.383 -0.816
1.387 0.504 -4.311
4.958 -1.336 1.440
ATOMIC_POSITIONS crystal
Os 0.500 0.500 0.265
Os 0.500 0.500 0.735
Pt 0.000 0.000 0.000
Si 0.500 0.000 0.000
Si 0.000 0.500 0.000
U 0.000 0.000 0.500
```

Computed properties:
E_form (uncorrected) ... 30.8 kJ/mol of atoms
E ... -8.120 eV per atom